1.
Below is a geometry-optimized InSn3O structure, with properties calculated at the PBE level.

Unit cell a=5.6029 b=5.6029 c=5.6029 alpha=90.00 beta=90.00 gamma=90.00
With the nearest neighbours (Å) after each atom.
Space group Pm-3m (No. 221)
Unique sites:
In: 0.0000 0.0000 0.0000 (multiplicity 1)  6 Sn 2.80
Sn: 0.0000 0.0000 0.5000 (multiplicity 3)  2 In 2.80
O: 0.5000 0.5000 0.5000 (multiplicity 1)  12 Sn 3.96

Computed properties:
raw total energy: -0.1080 hartree per atom
N(E_F): 0.7254 states/eV/atom
formation energy without anion corrections: 1.003 eV per atom


2.
Below is a geometry-optimized InSnO2 structure, with properties calculated at the PBE level.

Unit cell a=3.2829 b=3.2829 c=22.2433 alpha=90.00 beta=90.00 gamma=120.00
With the nearest neighbours (Å) after each atom.
Space group R-3m (No. 166, hexagonal axes)
Unique sites:
In: 0.0000 0.0000 0.0000 (multiplicity 3)  2 O 2.66
Sn: 0.0000 0.0000 0.5000 (multiplicity 3)  6 O 2.16
O: 0.0000 0.0000 0.1198 (multiplicity 6)  3 Sn 2.16

Computed properties:
raw total energy: -0.1932 hartree per atom
N(E_F): 0.1984 states/eV/atom
formation energy without anion corrections: -1.093 eV per atom


3.
Below is a geometry-optimized InSnO2 structure, with properties calculated at the PBE level.

Unit cell a=5.4397 b=5.4397 c=10.2389 alpha=90.00 beta=90.00 gamma=90.00
With the nearest neighbours (Å) after each atom.
Space group I-42d (No. 122)
Unique sites:
In: 0.0000 0.0000 0.0000 (multiplicity 4)  4 O 2.18
Sn: 0.0000 0.0000 0.5000 (multiplicity 4)  4 O 2.46
O: 0.2063 0.2500 0.1250 (multiplicity 8)  2 In 2.18

Computed properties:
raw total energy: -0.1875 hartree per atom
N(E_F): 0.2097 states/eV/atom
formation energy without anion corrections: -0.938 eV per atom


4.
Below is a geometry-optimized In4Sn3O12 structure, with properties calculated at the PBE level.

Unit cell a=6.2598 b=6.3677 c=12.6960 alpha=99.44 beta=99.61 gamma=99.34
With the nearest neighbours (Å) after each atom.
Space group P-1 (No. 2)
Unique sites:
In: 0.1054 0.1355 0.4071 (multiplicity 2)  6 O 2.14-2.38
In: 0.1854 0.3936 0.6839 (multiplicity 2)  6 O 2.16-2.34
In: 0.2028 0.3962 0.1854 (multiplicity 2)  5 O 2.11-2.29
In: 0.3621 0.6848 0.9485 (multiplicity 2)  6 O 2.13-2.33
Sn: 0.1024 0.1424 0.9090 (multiplicity 2)  6 O 2.07-2.22
Sn: 0.3590 0.6767 0.4486 (multiplicity 2)  6 O 2.05-2.19
Sn: 0.4937 0.9943 0.7475 (multiplicity 2)  6 O 2.06-2.11
O: 0.0759 0.4143 0.8414 (multiplicity 2)  1 Sn 2.07, 2 In 2.21-2.29
O: 0.0860 0.8364 0.9620 (multiplicity 2)  1 In 2.13, 2 Sn 2.16-2.17
O: 0.0893 0.8189 0.4595 (multiplicity 2)  1 Sn 2.05, 2 In 2.22-2.25
O: 0.0962 0.4233 0.3421 (multiplicity 2)  3 In 2.14-2.27, 1 Sn 2.19
O: 0.1813 0.0453 0.2003 (multiplicity 2)  2 Sn 2.10-2.11, 1 In 2.26
O: 0.1806 0.0554 0.7041 (multiplicity 2)  1 Sn 2.06, 2 In 2.14-2.21
O: 0.3117 0.4087 0.0375 (multiplicity 2)  3 In 2.11-2.25, 1 Sn 2.22
O: 0.3293 0.4257 0.5430 (multiplicity 2)  2 Sn 2.15, 2 In 2.16-2.38
O: 0.4097 0.7001 0.2895 (multiplicity 2)  2 Sn 2.09-2.12, 1 In 2.22
O: 0.4171 0.6827 0.7797 (multiplicity 2)  1 Sn 2.09, 2 In 2.19-2.23
O: 0.4311 0.1007 0.9031 (multiplicity 2)  2 Sn 2.10-2.13, 1 In 2.20
O: 0.4539 0.1102 0.4111 (multiplicity 2)  2 Sn 2.09-2.11, 1 In 2.21

Computed properties:
raw total energy: -0.2173 hartree per atom
formation energy without anion corrections: -1.573 eV per atom


5.
Below is a geometry-optimized In5Sn3O12 structure, with properties calculated at the PBE level.

Unit cell a=13.2002 b=13.2002 c=13.2002 alpha=90.00 beta=90.00 gamma=90.00
With the nearest neighbours (Å) after each atom.
Space group Ia-3d (No. 230)
Unique sites:
In: 0.0000 0.0000 0.0000 (multiplicity 16)  6 O 2.20
In: 0.0000 0.2500 0.3750 (multiplicity 24)  4 O 2.07
Sn: 0.0000 0.2500 0.1250 (multiplicity 24)  8 O 2.42-2.52
O: 0.0181 0.0622 0.6537 (multiplicity 96)  2 In 2.07-2.20

Computed properties:
raw total energy: -0.2033 hartree per atom
N(E_F): 0.2326 states/eV/atom
formation energy without anion corrections: -1.273 eV per atom


6.
Below is a geometry-optimized InSnO2 structure, with properties calculated at the PBE level.

Unit cell a=6.2000 b=6.2000 c=6.2000 alpha=90.00 beta=90.00 gamma=90.00
With the nearest neighbours (Å) after each atom.
Space group Fm-3m (No. 225)
Unique sites:
In: 0.0000 0.0000 0.0000 (multiplicity 4)  8 O 2.68
Sn: 0.0000 0.0000 0.5000 (multiplicity 4)  8 O 2.68
O: 0.2500 0.2500 0.2500 (multiplicity 8)  4 In 2.68, 4 Sn 2.68

Computed properties:
raw total energy: -0.1704 hartree per atom
N(E_F): 0.3925 states/eV/atom
formation energy without anion corrections: -0.472 eV per atom


7.
Below is a geometry-optimized In3SnO structure, with properties calculated at the PBE level.

Unit cell a=4.8791 b=4.8791 c=4.8791 alpha=90.00 beta=90.00 gamma=90.00
With the nearest neighbours (Å) after each atom.
Space group Pm-3m (No. 221)
Unique sites:
In: 0.0000 0.0000 0.5000 (multiplicity 3)  2 O 2.44
Sn: 0.5000 0.5000 0.5000 (multiplicity 1)  12 In 3.45
O: 0.0000 0.0000 0.0000 (multiplicity 1)  6 In 2.44

Computed properties:
raw total energy: -0.1346 hartree per atom
N(E_F): 0.5031 states/eV/atom
formation energy without anion corrections: -0.227 eV per atom


8.
Below is a geometry-optimized In15SnO24 structure, with properties calculated at the PBE level.

Unit cell a=14.5690 b=10.3106 c=10.3208 alpha=90.00 beta=134.88 gamma=90.00
With the nearest neighbours (Å) after each atom.
Space group C2 (No. 5)
Unique sites:
In: 0.0000 0.0000 0.0000 (multiplicity 2)  6 O 2.18-2.27
In: 0.0000 0.0663 0.5000 (multiplicity 2)  6 O 2.17-2.26
In: 0.9998 0.2825 0.2506 (multiplicity 4)  6 O 2.20-2.27
In: 0.0000 0.5662 0.5000 (multiplicity 2)  6 O 2.17-2.29
In: 0.0016 0.7830 0.2517 (multiplicity 4)  6 O 2.21-2.27
In: 0.2164 0.0344 0.4667 (multiplicity 4)  6 O 2.16-2.27
In: 0.2171 0.5328 0.9658 (multiplicity 4)  6 O 2.16-2.29
In: 0.2491 0.7823 0.7161 (multiplicity 4)  6 O 2.16-2.31
In: 0.2496 0.2832 0.7823 (multiplicity 4)  6 O 2.17-2.30
Sn: 0.0000 0.4982 0.0000 (multiplicity 2)  6 O 2.10-2.18
O: 0.0918 0.6457 0.9857 (multiplicity 4)  1 Sn 2.10, 3 In 2.27-2.30
O: 0.0958 0.1525 0.2060 (multiplicity 4)  4 In 2.18-2.27
O: 0.0957 0.4157 0.7074 (multiplicity 4)  4 In 2.17-2.25
O: 0.0981 0.9154 0.4882 (multiplicity 4)  4 In 2.17-2.25
O: 0.1276 0.4298 0.2764 (multiplicity 4)  1 Sn 2.15, 3 In 2.20-2.31
O: 0.1322 0.6431 0.4788 (multiplicity 4)  4 In 2.16-2.25
O: 0.1321 0.9195 0.9778 (multiplicity 4)  4 In 2.17-2.25
O: 0.1344 0.1433 0.7885 (multiplicity 4)  4 In 2.16-2.26
O: 0.1346 0.3807 0.0213 (multiplicity 4)  1 Sn 2.18, 3 In 2.18-2.28
O: 0.1387 0.1885 0.5207 (multiplicity 4)  4 In 2.17-2.26
O: 0.1402 0.6882 0.7603 (multiplicity 4)  4 In 2.16-2.29
O: 0.1407 0.8799 0.2590 (multiplicity 4)  4 In 2.17-2.27

Computed properties:
raw total energy: -0.2089 hartree per atom
N(E_F): 0.0114 states/eV/atom
formation energy without anion corrections: -1.583 eV per atom


9.
Below is a geometry-optimized InSn3O structure, with properties calculated at the PBE level.

Unit cell a=4.9177 b=4.9177 c=4.9177 alpha=90.00 beta=90.00 gamma=90.00
With the nearest neighbours (Å) after each atom.
Space group Pm-3m (No. 221)
Unique sites:
In: 0.0000 0.0000 0.0000 (multiplicity 1)  12 Sn 3.48
Sn: 0.0000 0.5000 0.5000 (multiplicity 3)  2 O 2.46
O: 0.5000 0.5000 0.5000 (multiplicity 1)  6 Sn 2.46

Computed properties:
raw total energy: -0.1542 hartree per atom
N(E_F): 0.4218 states/eV/atom
formation energy without anion corrections: -0.254 eV per atom


10.
Below is a geometry-optimized In4Sn3O12 structure, with properties calculated at the PBE level.

Unit cell a=6.2728 b=6.3317 c=6.3600 alpha=99.41 beta=99.55 gamma=99.47
With the nearest neighbours (Å) after each atom.
Space group P1 (No. 1)
Unique sites:
In: 0.0000 0.0000 0.0000 (multiplicity 1)  6 O 2.15-2.34
In: 0.0923 0.5515 0.2545 (multiplicity 1)  6 O 2.13-2.37
In: 0.5335 0.2887 0.1785 (multiplicity 1)  6 O 2.14-2.29
In: 0.7052 0.8149 0.4655 (multiplicity 1)  5 O 2.14-2.25
Sn: 0.2552 0.0824 0.5445 (multiplicity 1)  6 O 2.06-2.24
Sn: 0.3969 0.6899 0.8621 (multiplicity 1)  6 O 2.08-2.12
Sn: 0.7913 0.3741 0.7230 (multiplicity 1)  6 O 2.05-2.26
O: 0.0776 0.5861 0.9059 (multiplicity 1)  2 Sn 2.08-2.09, 1 In 2.25
O: 0.2153 0.2630 0.2916 (multiplicity 1)  1 Sn 2.13, 3 In 2.13-2.34
O: 0.3037 0.7583 0.5531 (multiplicity 1)  2 Sn 2.09-2.13, 1 In 2.20
O: 0.3394 0.0028 0.9538 (multiplicity 1)  1 Sn 2.08, 2 In 2.16-2.19
O: 0.4518 0.3726 0.7509 (multiplicity 1)  3 Sn 2.12-2.16
O: 0.4765 0.6240 0.1730 (multiplicity 1)  1 Sn 2.08, 2 In 2.19-2.21
O: 0.5734 0.1045 0.4601 (multiplicity 1)  2 In 2.14-2.29, 2 Sn 2.14-2.26
O: 0.7152 0.7669 0.8052 (multiplicity 1)  1 Sn 2.08, 2 In 2.17-2.22
O: 0.8110 0.2739 0.0244 (multiplicity 1)  1 Sn 2.11, 2 In 2.14-2.26
O: 0.8126 0.4971 0.4460 (multiplicity 1)  1 Sn 2.05, 2 In 2.22-2.28
O: 0.9839 0.1158 0.6814 (multiplicity 1)  2 Sn 2.06-2.20, 1 In 2.26
O: 0.9846 0.8654 0.2871 (multiplicity 1)  3 In 2.15-2.25, 1 Sn 2.24

Computed properties:
raw total energy: -0.2173 hartree per atom
formation energy without anion corrections: -1.572 eV per atom


11.
Below is a geometry-optimized In4Sn3O12 structure, with properties calculated at the PBE level.

Unit cell a=6.3022 b=6.3686 c=12.5920 alpha=99.70 beta=99.29 gamma=99.41
With the nearest neighbours (Å) after each atom.
Space group P1 (No. 1)
Unique sites:
In: 0.0000 0.0000 0.0000 (multiplicity 1)  6 O 2.14-2.35
In: 0.0012 0.0007 0.5052 (multiplicity 1)  6 O 2.14-2.40
In: 0.0879 0.2602 0.2805 (multiplicity 1)  5 O 2.11-2.31
In: 0.2525 0.5534 0.0448 (multiplicity 1)  6 O 2.16-2.30
In: 0.5371 0.1805 0.6494 (multiplicity 1)  6 O 2.14-2.33
In: 0.7052 0.4699 0.9134 (multiplicity 1)  6 O 2.14-2.35
In: 0.7093 0.4734 0.4164 (multiplicity 1)  6 O 2.13-2.32
In: 0.7902 0.7311 0.6953 (multiplicity 1)  6 O 2.13-2.36
Sn: 0.0829 0.2640 0.7803 (multiplicity 1)  6 O 2.06-2.23
Sn: 0.2540 0.5447 0.5462 (multiplicity 1)  6 O 2.05-2.22
Sn: 0.3959 0.8684 0.8463 (multiplicity 1)  6 O 2.07-2.12
Sn: 0.3993 0.8660 0.3476 (multiplicity 1)  6 O 2.05-2.12
Sn: 0.5314 0.1884 0.1472 (multiplicity 1)  6 O 2.07-2.26
Sn: 0.7903 0.7310 0.1921 (multiplicity 1)  5 O 2.07-2.17
O: 0.0810 0.9127 0.2922 (multiplicity 1)  2 Sn 2.09-2.10, 1 In 2.24
O: 0.0853 0.9375 0.8075 (multiplicity 1)  2 Sn 2.08-2.17, 1 In 2.22
O: 0.2167 0.2981 0.6435 (multiplicity 1)  2 Sn 2.06-2.16, 1 In 2.26
O: 0.2190 0.2766 0.1372 (multiplicity 1)  3 In 2.11-2.32, 1 Sn 2.12
O: 0.2946 0.5530 0.8733 (multiplicity 1)  2 Sn 2.11-2.12, 1 In 2.22
O: 0.3016 0.5589 0.3830 (multiplicity 1)  2 Sn 2.10-2.14, 1 In 2.21
O: 0.3416 0.9767 0.5010 (multiplicity 1)  1 Sn 2.05, 2 In 2.15-2.18
O: 0.3503 0.9565 0.0097 (multiplicity 1)  2 Sn 2.11-2.12, 1 In 2.26
O: 0.4382 0.7729 0.6840 (multiplicity 1)  2 Sn 2.10, 1 In 2.26
O: 0.4605 0.7550 0.1922 (multiplicity 1)  2 Sn 2.08-2.11, 1 In 2.16
O: 0.4786 0.1820 0.8175 (multiplicity 1)  1 Sn 2.09, 2 In 2.17-2.20
O: 0.4916 0.1762 0.3104 (multiplicity 1)  2 Sn 2.12, 1 In 2.23
O: 0.5634 0.4531 0.5564 (multiplicity 1)  1 Sn 2.12, 3 In 2.13-2.36
O: 0.5736 0.4417 0.0576 (multiplicity 1)  2 Sn 2.12-2.35, 2 In 2.14-2.24
O: 0.7075 0.8048 0.8853 (multiplicity 1)  1 Sn 2.07, 2 In 2.19-2.22
O: 0.7164 0.8107 0.3890 (multiplicity 1)  1 Sn 2.08, 2 In 2.16-2.23
O: 0.7990 0.0404 0.1415 (multiplicity 1)  2 Sn 2.07-2.17
O: 0.8075 0.4496 0.2526 (multiplicity 1)  2 Sn 2.07-2.26, 2 In 2.24-2.31
O: 0.8260 0.4445 0.7568 (multiplicity 1)  3 In 2.13-2.33, 1 Sn 2.14
O: 0.8265 0.0463 0.6459 (multiplicity 1)  3 In 2.14-2.24, 1 Sn 2.23
O: 0.9663 0.6921 0.0603 (multiplicity 1)  1 Sn 2.14, 3 In 2.16-2.35
O: 0.9800 0.2854 0.9337 (multiplicity 1)  1 Sn 2.13, 3 In 2.14-2.30
O: 0.9844 0.6837 0.5566 (multiplicity 1)  1 Sn 2.05, 2 In 2.21-2.30
O: 0.9882 0.2882 0.4390 (multiplicity 1)  3 In 2.14-2.28, 1 Sn 2.22

Computed properties:
raw total energy: -0.2173 hartree per atom
formation energy without anion corrections: -1.573 eV per atom


12.
Below is a geometry-optimized InSnO structure, with properties calculated at the PBE level.

Unit cell a=6.2393 b=3.2417 c=6.9706 alpha=90.00 beta=90.00 gamma=90.00
With the nearest neighbours (Å) after each atom.
Space group Pmma (No. 51)
Unique sites:
In: 0.0000 0.0000 0.0000 (multiplicity 2)  2 O 2.53
Sn: 0.2500 0.5000 0.4819 (multiplicity 2)  2 O 2.12
O: 0.2500 0.0000 0.2856 (multiplicity 2)  2 Sn 2.12

Computed properties:
raw total energy: -0.1665 hartree per atom
N(E_F): 0.3029 states/eV/atom
formation energy without anion corrections: -0.631 eV per atom


13.
Below is a geometry-optimized InSnO4 structure, with properties calculated at the PBE level.

Unit cell a=6.9132 b=7.0681 c=3.3004 alpha=90.00 beta=90.00 gamma=90.00
With the nearest neighbours (Å) after each atom.
Space group Cmmm (No. 65)
Unique sites:
In: 0.0000 0.0000 0.0000 (multiplicity 2)  6 O 2.16-2.21
Sn: 0.0000 0.5000 0.5000 (multiplicity 2)  6 O 2.06-2.12
O: 0.0000 0.3125 0.0000 (multiplicity 4)  2 Sn 2.12, 1 In 2.21
O: 0.2021 0.0000 0.5000 (multiplicity 4)  1 Sn 2.06, 2 In 2.16

Computed properties:
raw total energy: -0.2094 hartree per atom
N(E_F): 0.9338 states/eV/atom
formation energy without anion corrections: -1.269 eV per atom